The following is a PBE calculation of a relaxed structure of NaPb2Se2O6, from Alexandria via LeMat-Bulk.

Cell lengths 5.8112, 5.8112, 7.3966 Å; angles 66.87, 66.87, 60.00 degrees
Fractional coordinates of all 11 atoms:
Se  0.3833  0.3833  0.8501
Se  0.6167  0.6167  0.1499
O  0.7389  0.7389  0.2566
O  0.2656  0.7389  0.2566
O  0.2611  0.7344  0.7434
O  0.7389  0.2656  0.2566
O  0.7344  0.2611  0.7434
O  0.2611  0.2611  0.7434
Na  0.0000  0.0000  0.0000
Pb  0.1751  0.1751  0.4748
Pb  0.8249  0.8249  0.5252

Summary:
* crystal system: trigonal
* ΔE_f (raw): -1005 kJ/mol of formula units
* space group: R-3m (166)